Record 1
Computed, not measured: MgFeSe2 after structural relaxation at the PBE level of DFT.

Structure (POSCAR):
```
MgFeSe2
1.0
4.328 -0.079 0.000
-2.775 3.322 0.000
0.000 0.000 7.225
Se Fe Mg
2 1 1
Direct
0.000 0.000 0.488
0.000 0.000 0.012
0.500 0.500 0.250
0.500 0.500 0.750
```

Calculated values
Volume ... 102.3 Å³ per cell
E_form (uncorrected) ... -0.225 eV/atom
E ... -4.482 eV/atom
SG ... Cmmm, No. 65

Record 2
Computed, not measured: BC2 after structural relaxation at the PBE level of DFT.

Structure (POSCAR):
```
BC2
1.0
-0.150 1.916 -2.004
-1.423 -1.775 -1.591
-5.289 2.090 2.395
B C
2 4
Direct
0.500 0.500 0.000
0.000 0.000 0.500
0.500 0.000 0.139
0.500 0.000 0.361
0.000 0.500 0.639
0.000 0.500 0.861
```

Calculated values
Volume ... 47.6 Å³ per cell
Formation enthalpy at 0 K ... 0.715 eV/atom
Offset from the most stable computed form ... 475 meV/atom
E ... -7.660 eV/atom
SG ... I-4m2, No. 119

Record 3
Computed, not measured: GdPaOs after structural relaxation at the PBE level of DFT.

Structure (POSCAR):
```
GdPaOs
1.0
-2.112 1.383 1.997
2.902 -0.916 3.705
0.419 4.123 -2.411
Pa Gd Os
1 1 1
Direct
0.311 0.667 0.333
0.659 0.333 0.667
0.030 0.000 0.000
```

Calculated values
Volume ... 64.1 Å³ per cell
Formation enthalpy at 0 K ... 0.025 eV/atom
Offset from the most stable computed form ... 207 meV/atom
E ... -11.577 eV/atom
SG ... P3m1, No. 156

What did the first record say?
Computed, not measured: MgFeSe2 after structural relaxation at the PBE level of DFT.

Structure (POSCAR):
```
MgFeSe2
1.0
4.328 -0.079 0.000
-2.775 3.322 0.000
0.000 0.000 7.225
Se Fe Mg
2 1 1
Direct
0.000 0.000 0.488
0.000 0.000 0.012
0.500 0.500 0.250
0.500 0.500 0.750
```

Calculated values
Volume ... 102.3 Å³ per cell
E_form (uncorrected) ... -0.225 eV/atom
E ... -4.482 eV/atom
SG ... Cmmm, No. 65

- Which of these has the highest E?
  MgFeSe2